The following is a DFT calculation (PBE-GGA) of an optimized crystal structure of CeDy2ZrAs4.

Results
Calculated total energy: -6.6768 eV/atom
ΔE_f: -1074 kJ/mol of formula units
DOS(E_F): 6.557 states/eV/f.u.
M_tot: 0.080 μB/atom

a b c (Å): 4.0727 7.0527 7.0502
angles (deg): 109.29 90.00 90.00
Fractional coordinates of all 8 atoms:
1 Ce 0.5000 0.5000 0.0000
2 Dy 0.5000 0.0000 0.5000
3 Dy 0.0000 0.5000 0.5000
4 Zr 0.0000 0.0000 0.0000
5 As 0.5000 0.2388 0.2413
6 As 0.5000 0.7612 0.7587
7 As 0.0000 0.2412 0.7520
8 As 0.0000 0.7588 0.2480

***

The following is a DFT calculation (PBE-GGA) of an optimized crystal structure of LaIrRu3.

Results
Calculated total energy: -7.5268 eV/atom
ΔE_f: 384 kJ/mol of formula units
DOS(E_F): 8.011 states/eV/f.u.
Energy relative to the lowest polymorph listed for this composition: 0 meV/atom
M_tot: 0.000 μB/atom

a b c (Å): 4.7565 4.7565 4.7565
angles (deg): 90.00 90.00 90.00
Fractional coordinates of all 5 atoms:
1 Ru 0.0000 0.5000 0.0000
2 Ru 0.0000 0.0000 0.5000
3 Ru 0.5000 0.0000 0.0000
4 Ir 0.0000 0.0000 0.0000
5 La 0.5000 0.5000 0.5000

***

The following is a DFT calculation (PBE-GGA) of an optimized crystal structure of YAl2Pd2Au.

Results
Calculated total energy: -4.9660 eV/atom
ΔE_f: -211 kJ/mol of formula units
DOS(E_F): 3.675 states/eV/f.u.
M_tot: 0.000 μB/atom

a b c (Å): 4.7088 4.7088 5.6468
angles (deg): 90.00 90.00 90.00
Fractional coordinates of all 6 atoms:
1 Y 0.0000 0.0000 0.5000
2 Al 0.5000 0.0000 0.0000
3 Al 0.0000 0.5000 0.0000
4 Pd 0.5000 0.5000 0.7458
5 Pd 0.5000 0.5000 0.2542
6 Au 0.0000 0.0000 0.0000

***

The following is a DFT calculation (PBE-GGA) of an optimized crystal structure of LaSi2H2Pt6.

Results
Calculated total energy: -5.9644 eV/atom
DOS(E_F): 3.683 states/eV/f.u.
M_tot: 0.000 μB/atom

a b c (Å): 5.6272 6.6831 6.7433
angles (deg): 127.89 90.24 65.45
Fractional coordinates of all 11 atoms:
1 La 0.5000 0.0000 0.5000
2 Si 0.8165 0.3658 0.8700
3 Si 0.1835 0.6342 0.1300
4 H 0.1965 0.6052 0.6584
5 H 0.8035 0.3948 0.3416
6 Pt 0.4043 0.7027 0.8904
7 Pt 0.1060 0.2963 0.1096
8 Pt 0.0840 0.8305 0.5804
9 Pt 0.8940 0.7037 0.8904
10 Pt 0.9160 0.1695 0.4196
11 Pt 0.5957 0.2973 0.1096